Version 1
DFT (PBE-GGA) results for a geometry-optimized CeFeC structure.

Properties
Calculated volume ... 14.529 Å³ per atom

Unit cell a=5.0689 b=6.1716 c=6.5502 alpha=90.00 beta=121.70 gamma=90.00
Closest atoms and distances in Å follow each position.
Element x y z (fractional)
Ce 0.1694 0.0571 0.3393  3 Fe 2.73-2.88, 5 C 2.74-2.95, 1 Ce 2.96
Ce 0.1694 0.4429 0.8393  3 Fe 2.73-2.88, 5 C 2.74-2.95, 1 Ce 2.96
Ce 0.8306 0.5571 0.1607  3 Fe 2.73-2.88, 5 C 2.74-2.95, 1 Ce 2.96
Ce 0.8306 0.9429 0.6607  3 Fe 2.73-2.88, 5 C 2.74-2.95, 1 Ce 2.96
Fe 0.4216 0.6232 0.5965  3 C 1.88-1.95
Fe 0.4216 0.8768 0.0965  3 C 1.88-1.95
Fe 0.5784 0.1232 0.9035  3 C 1.88-1.95
Fe 0.5784 0.3768 0.4035  3 C 1.88-1.95
C 0.4280 0.6649 0.3044  3 Fe 1.88-1.95
C 0.4280 0.8351 0.8044  3 Fe 1.88-1.95
C 0.5720 0.1649 0.1956  3 Fe 1.88-1.95
C 0.5720 0.3351 0.6956  3 Fe 1.88-1.95


Version 2
DFT (PBE-GGA) results for a geometry-optimized CeFeC structure.

Properties
Calculated volume ... 12.842 Å³ per atom

Unit cell a=5.2783 b=5.2783 c=5.2783 alpha=149.16 beta=149.16 gamma=44.17
Closest atoms and distances in Å follow each position.
Element x y z (fractional)
Ce 0.0000 0.0000 0.0000  1 Fe 2.63, 4 Ce 2.81, 5 C 2.84-2.86
Fe 0.2686 0.2686 0.0000  4 C 2.07
C 0.7079 0.7079 0.0000  4 Fe 2.07


Tell me which of them is the most stable. Sure, it is version 1.